## ZrGaMoO6 (PBE with a Hubbard U)

Data for a geometry-optimized ZrGaMoO6 structure.

CIF file:
```
data_ZrGaMoO6
_chemical_formula_sum 'Zr2 Ga2 Mo2 O12'
_symmetry_space_group_name_H-M 'P 42 n m'
_symmetry_Int_Tables_number 102
_cell_length_a 4.738
_cell_length_b 4.738
_cell_length_c 9.486
_cell_angle_alpha 90.00
_cell_angle_beta 90.00
_cell_angle_gamma 90.00
loop_
_symmetry_equiv_pos_as_xyz
'x,y,z'
'-y+1/2,x+1/2,z+1/2'
'-x,-y,z'
'y+1/2,-x+1/2,z+1/2'
'-x+1/2,y+1/2,z+1/2'
'y,x,z'
'x+1/2,-y+1/2,z+1/2'
'-y,-x,z'
loop_
_atom_site_label
_atom_site_fract_x
_atom_site_fract_y
_atom_site_fract_z
Zr1 0.000 0.000 0.000
Ga1 0.000 0.000 0.662
Mo1 0.000 0.000 0.330
O1 0.187 0.187 0.495
O2 0.202 0.202 0.167
O3 0.207 0.207 0.823
```

Summary:
**Total energy**: -136.675 eV/cell
**Volume**: 213.0 Å³/cell